A PBEsol-optimized structure of CdB2O4, computed with meta-GGA SCAN.

Cell and atoms, written as extended XYZ:
```
56
Lattice="8.1537 0.0000 0.0000 0.0000 14.0697 0.0000 0.0000 0.0000 5.0729" Properties=species:S:1:pos:R:3 pbc="T T T"
Cd 0.9380 2.1057 0.0844
Cd 0.9380 4.9291 2.6209
Cd 3.1389 2.1057 2.6209
Cd 3.1389 4.9291 0.0844
Cd 5.0148 9.1406 4.9885
Cd 5.0148 11.9640 2.4520
Cd 7.2157 9.1406 2.4520
Cd 7.2157 11.9640 4.9885
B 0.2727 8.9703 4.9144
B 0.2727 12.1343 2.3780
B 1.9780 7.7353 1.1715
B 1.9780 13.3693 3.7080
B 2.0989 7.7353 3.7080
B 2.0989 13.3693 1.1715
B 3.8042 8.9703 2.3780
B 3.8042 12.1343 4.9144
B 4.3495 1.9354 0.1585
B 4.3495 5.0995 2.6950
B 6.0548 0.7004 3.9014
B 6.0548 6.3345 1.3650
B 6.1757 0.7004 1.3650
B 6.1757 6.3345 3.9014
B 7.8810 1.9354 2.6950
B 7.8810 5.0995 0.1585
O 0.6990 8.4993 1.0535
O 0.6990 12.6053 3.5900
O 0.8860 2.6702 2.7942
O 0.8860 4.3647 0.2578
O 0.9766 8.6966 3.7748
O 0.9766 12.4080 1.2384
O 1.9446 0.0811 4.9727
O 1.9446 6.9537 2.4362
O 2.1323 0.0811 2.4362
O 2.1323 6.9537 4.9727
O 3.1003 8.6966 1.2384
O 3.1003 12.4080 3.7748
O 3.1909 2.6702 0.2578
O 3.1909 4.3647 2.7942
O 3.3778 8.4993 3.5900
O 3.3778 12.6053 1.0535
O 4.7759 1.4644 4.0194
O 4.7759 5.5704 1.4829
O 4.9628 9.7050 2.2787
O 4.9628 11.3996 4.8152
O 5.0534 1.6617 1.2981
O 5.0534 5.3731 3.8345
O 6.0214 7.1160 0.1002
O 6.0214 13.9886 2.6367
O 6.2091 7.1160 2.6367
O 6.2091 13.9886 0.1002
O 7.1771 1.6617 3.8345
O 7.1771 5.3731 1.2981
O 7.2677 9.7050 4.8152
O 7.2677 11.3996 2.2787
O 7.4547 1.4644 1.4829
O 7.4547 5.5704 4.0194
```

Results
Total moment in μB per atom: 0.00
Energy relative to the lowest polymorph listed for this composition in kcal/mol of atoms: 0.04
Fermi-level density of states in states/eV/f.u.: 0.00
Formation energy (no corrections) in eV per atom: -2.276



A PBEsol-optimized structure of Cd3B2O6, computed with meta-GGA SCAN.

Cell and atoms, written as extended XYZ:
```
22
Lattice="6.1236 0.0000 0.0000 0.8111 6.1228 0.0000 1.2095 1.6081 7.1834" Properties=species:S:1:pos:R:3 pbc="T T T"
Cd 1.5572 2.2713 3.5761
Cd 1.5258 0.4855 0.4219
Cd 3.6679 4.6843 5.7089
Cd 4.4762 3.0467 1.4746
Cd 6.6183 7.2454 6.7615
Cd 6.5869 5.4596 3.6073
B 1.3587 3.6800 0.9928
B 3.6503 5.6974 2.6793
B 4.4937 2.0335 4.5041
B 6.7854 4.0510 6.1907
O 1.4672 4.0166 5.0599
O 2.4781 6.2307 7.1524
O 2.3857 6.2970 2.7381
O 2.2658 2.6453 0.8181
O 4.0368 2.3568 5.7762
O 3.7630 2.3257 3.3861
O 4.3810 5.4053 3.7973
O 4.1073 5.3742 1.4073
O 5.8783 5.0857 6.3654
O 5.7584 1.4339 4.4453
O 5.6660 1.5003 0.0310
O 6.6769 3.7144 2.1236
```

Results
Total moment in μB per atom: 0.00
Energy relative to the lowest polymorph listed for this composition in kcal/mol of atoms: 0.12
Fermi-level density of states in states/eV/f.u.: 0.00
Formation energy (no corrections) in eV per atom: -1.912



A PBEsol-optimized structure of Cd3BPO7, computed with meta-GGA SCAN.

Cell and atoms, written as extended XYZ:
```
48
Lattice="13.2570 0.0000 0.0000 0.0000 8.8705 0.0000 0.0000 0.0000 5.0983" Properties=species:S:1:pos:R:3 pbc="T T T"
Cd 1.2890 0.7842 0.0000
Cd 1.8282 5.2963 2.6283
Cd 3.2720 2.3211 2.6049
Cd 3.3565 6.7564 0.0557
Cd 4.8003 0.8611 0.0792
Cd 5.3395 5.2195 2.5492
Cd 7.9175 3.6510 0.0000
Cd 8.4567 8.0095 2.6283
Cd 9.9005 2.1141 2.6049
Cd 9.9850 6.5494 0.0557
Cd 11.4288 3.5742 0.0792
Cd 11.9680 8.0863 2.5492
B 3.0090 8.2607 2.6180
B 3.6195 3.8254 0.0689
B 9.6375 5.0451 2.6180
B 10.2480 0.6099 0.0689
P 0.0487 6.4690 5.0517
P 6.5798 2.0337 2.5026
P 6.6772 6.8368 5.0517
P 13.2083 2.4016 2.5026
O 0.0646 0.9966 3.1520
O 0.1342 6.6148 3.4995
O 1.2026 3.2156 2.9183
O 1.3146 5.7118 0.4155
O 2.8905 0.3696 1.6393
O 2.9084 8.5791 3.9670
O 3.2805 6.9464 2.2760
O 3.3480 2.5111 4.8251
O 3.7201 4.1438 1.4179
O 3.7380 4.8049 4.1884
O 5.3139 1.2765 2.9647
O 5.4259 7.6509 0.3692
O 6.4943 2.1796 0.9504
O 6.5639 5.4319 0.6028
O 6.6931 3.4387 3.1520
O 6.7627 6.6910 3.4995
O 7.8311 1.2196 2.9183
O 7.9431 7.5940 0.4155
O 9.5190 4.0656 1.6393
O 9.5369 4.7267 3.9670
O 9.9090 6.3594 2.2760
O 9.9765 1.9242 4.8251
O 10.3486 0.2915 1.4179
O 10.3665 8.5009 4.1884
O 11.9424 3.1587 2.9647
O 12.0544 5.6549 0.3692
O 13.1228 2.2557 0.9504
O 13.1924 7.8739 0.6028
```

Results
Total moment in μB per atom: 0.00
Fermi-level density of states in states/eV/f.u.: 0.00
Formation energy (no corrections) in eV per atom: -2.010



A PBEsol-optimized structure of Cd3B4Pb3O12, computed with meta-GGA SCAN.

Cell and atoms, written as extended XYZ:
```
44
Lattice="10.0154 0.0000 0.0000 -5.0077 8.6736 0.0000 0.0000 0.0000 7.0009" Properties=species:S:1:pos:R:3 pbc="T T T"
Cd -2.5039 4.3368 0.0000
Cd -2.5039 4.3368 3.5005
Cd 5.0077 0.0000 0.0000
Cd 5.0077 0.0000 3.5005
Cd 2.5039 4.3368 0.0000
Cd 2.5039 4.3368 3.5005
B -0.0531 3.3940 1.7502
B -2.0419 7.0226 1.7502
B 0.0000 5.7824 5.2507
B 2.9128 1.7430 5.2507
B 2.0950 6.9306 1.7502
B 5.0077 2.8912 1.7502
B 7.0496 1.6510 5.2507
B 5.0608 5.2796 5.2507
Pb -2.9004 7.3597 5.2507
Pb 0.0842 2.4820 5.2507
Pb 2.1916 1.1681 1.7502
Pb 2.8161 7.5056 5.2507
Pb 4.9235 6.1916 1.7502
Pb 7.9081 1.3140 1.7502
O -0.7099 3.0445 0.5693
O -0.7099 3.0445 2.9312
O -2.2184 5.6675 1.7502
O -1.3833 5.6315 5.2507
O -2.0162 7.7661 0.5693
O -2.0162 7.7661 2.9312
O 1.2087 3.9187 1.7502
O 2.2817 2.1370 4.0697
O 2.2817 2.1370 6.4317
O 0.8224 4.6599 5.2507
O 3.9980 0.9126 5.2507
O 0.5610 7.0559 5.2507
O 4.4467 1.6177 1.7502
O 1.0097 7.7611 1.7502
O 4.1854 4.0138 1.7502
O 2.7260 6.5366 0.5693
O 2.7260 6.5366 2.9312
O 3.7990 4.7550 5.2507
O 7.0239 0.9075 4.0697
O 7.0239 0.9075 6.4317
O 6.3911 3.0421 1.7502
O 7.2261 3.0061 5.2507
O 5.7176 5.6291 4.0697
O 5.7176 5.6291 6.4317
```

Results
Total moment in μB per atom: 0.00
Fermi-level density of states in states/eV/f.u.: 0.00
Formation energy (no corrections) in eV per atom: -1.910



A PBEsol-optimized structure of CdBOs2, computed with meta-GGA SCAN.

Cell and atoms, written as extended XYZ:
```
4
Lattice="0.0000 2.9834 2.9834 2.9834 0.0000 2.9834 2.9834 2.9834 0.0000" Properties=species:S:1:pos:R:3 pbc="T T T"
Cd 0.0000 0.0000 0.0000
B 2.9834 2.9834 2.9834
Os 1.4917 1.4917 1.4917
Os 4.4751 4.4751 4.4751
```

Results
Total moment in μB per atom: 0.00
Fermi-level density of states in states/eV/f.u.: 3.35
Calculated formation energy in eV/f.u.: 5.22



A PBEsol-optimized structure of Sc2CdBOs, computed with meta-GGA SCAN.

Cell and atoms, written as extended XYZ:
```
5
Lattice="5.0334 0.0000 0.0000 0.0000 5.0334 0.0000 0.0000 0.0000 4.7623" Properties=species:S:1:pos:R:3 pbc="T T T"
Sc 0.0000 2.5167 0.0000
Sc 2.5167 0.0000 0.0000
Cd 0.0000 0.0000 0.0000
B 2.5167 2.5167 2.3812
Os 0.0000 0.0000 2.3812
```

Results
Total moment in μB per atom: 0.12
Fermi-level density of states in states/eV/f.u.: 4.08
Calculated formation energy in eV/f.u.: 9.80



A PBEsol-optimized structure of YCdB2Os, computed with meta-GGA SCAN.

Cell and atoms, written as extended XYZ:
```
5
Lattice="4.1012 0.0000 0.0000 0.0000 4.1012 0.0000 0.0000 0.0000 5.5203" Properties=species:S:1:pos:R:3 pbc="T T T"
Y 0.0000 0.0000 0.0000
Cd 0.0000 0.0000 2.7602
B 0.0000 2.0506 2.7602
B 2.0506 0.0000 2.7602
Os 2.0506 2.0506 0.0000
```

Results
Total moment in μB per atom: 0.20
Fermi-level density of states in states/eV/f.u.: 2.68
Calculated formation energy in eV/f.u.: 10.01



A PBEsol-optimized structure of Cd2BP, computed with meta-GGA SCAN.

Cell and atoms, written as extended XYZ:
```
4
Lattice="0.0000 3.2267 3.2267 3.2267 0.0000 3.2267 3.2267 3.2267 0.0000" Properties=species:S:1:pos:R:3 pbc="T T T"
Cd 1.6134 1.6134 1.6134
Cd 4.8401 4.8401 4.8401
B 0.0000 0.0000 0.0000
P 3.2267 3.2267 3.2267
```

Results
Total moment in μB per atom: 0.00
Fermi-level density of states in states/eV/f.u.: 2.01
Calculated formation energy in eV/f.u.: 4.24